[1]
Crystalline TcRh2Au at its relaxed geometry. Source: the Alexandria database, functional PBE.

## Properties
**Energy relative to the lowest polymorph listed for this composition**: 1.082 eV per formula unit
**V**: 61 Å³/cell
**Space group**: P4/mmm, No. 123
**ΔE_f**: 0.234 eV/atom

Structure (extended XYZ):
```
4
Lattice="3.976 0.000 0.000 0.000 3.977 0.000 0.000 0.000 3.853" Properties=species:S:1:pos:R:3 pbc="T T T"
Rh 0.000 0.000 0.000
Rh 1.988 1.988 0.000
Tc 1.988 0.000 1.927
Au 0.000 1.988 1.927
```

***

[2]
Crystalline TcRhAu2 at its relaxed geometry. Source: the Alexandria database, functional PBE.

## Properties
**Energy relative to the lowest polymorph listed for this composition**: 1.529 eV per formula unit
**V**: 66 Å³/cell
**Space group**: P4/mmm, No. 123
**ΔE_f**: 0.448 eV/atom

Structure (extended XYZ):
```
4
Lattice="-4.467 -0.907 -1.672 -0.505 -3.549 3.274 -1.051 1.827 1.818" Properties=species:S:1:pos:R:3 pbc="T T T"
Rh -2.759 0.460 0.073
Au 0.000 0.000 0.000
Au -2.486 -2.228 0.801
Tc -0.778 -0.861 2.546
```

***

[3]
Crystalline Tc2RhAu at its relaxed geometry. Source: the Alexandria database, functional PBE.

## Properties
**Energy relative to the lowest polymorph listed for this composition**: 0.631 eV per formula unit
**V**: 60 Å³/cell
**Space group**: P4/mmm, No. 123
**ΔE_f**: 0.237 eV/atom

Structure (extended XYZ):
```
4
Lattice="3.849 0.000 0.000 0.000 3.849 0.000 0.000 0.000 4.074" Properties=species:S:1:pos:R:3 pbc="T T T"
Au 1.925 0.000 2.037
Tc 1.925 1.925 0.000
Tc 0.000 0.000 0.000
Rh 0.000 1.925 2.037
```

***

[4]
Crystalline TcRhAu2 at its relaxed geometry. Source: the Alexandria database, functional PBE.

## Properties
**Energy relative to the lowest polymorph listed for this composition**: 1.323 eV per formula unit
**V**: 66 Å³/cell
**Space group**: P4/mmm, No. 123
**ΔE_f**: 0.397 eV/atom

Structure (extended XYZ):
```
4
Lattice="3.956 0.000 0.000 0.000 3.962 0.000 0.000 0.000 4.232" Properties=species:S:1:pos:R:3 pbc="T T T"
Rh 1.978 0.000 2.116
Tc 0.000 1.981 2.116
Au 1.978 1.981 0.000
Au 0.000 0.000 0.000
```

***

[5]
Crystalline Tc2RhAu at its relaxed geometry. Source: the Alexandria database, functional PBE.

## Properties
**Energy relative to the lowest polymorph listed for this composition**: 0.037 eV per formula unit
**V**: 61 Å³/cell
**Space group**: P4mm, No. 99
**ΔE_f**: 0.088 eV/atom

Structure (extended XYZ):
```
4
Lattice="-2.267 0.862 -1.357 -1.045 -2.573 0.111 -3.480 1.712 6.900" Properties=species:S:1:pos:R:3 pbc="T T T"
Tc -0.010 0.005 0.019
Tc -2.457 -0.461 0.967
Rh -4.327 0.459 4.674
Au -1.737 0.854 3.444
```

***

[6]
Crystalline TcRh2Au at its relaxed geometry. Source: the Alexandria database, functional PBE.

## Properties
**Energy relative to the lowest polymorph listed for this composition**: 0.187 eV per formula unit
**V**: 61 Å³/cell
**Space group**: R-3m, No. 166
**ΔE_f**: 0.010 eV/atom

Structure (extended XYZ):
```
4
Lattice="9.223 -0.016 -0.009 8.808 2.736 -0.009 8.808 1.329 2.392" Properties=species:S:1:pos:R:3 pbc="T T T"
Rh 26.677 4.025 2.359
Rh 13.582 2.049 1.201
Tc 6.710 1.012 0.593
Au 20.129 3.037 1.780
```

***

- Which value of V does entry 2 give?
  66 Å³/cell

***

Copy entry 2 word for word.
Crystalline TcRhAu2 at its relaxed geometry. Source: the Alexandria database, functional PBE.

## Properties
**Energy relative to the lowest polymorph listed for this composition**: 1.529 eV per formula unit
**V**: 66 Å³/cell
**Space group**: P4/mmm, No. 123
**ΔE_f**: 0.448 eV/atom

Structure (extended XYZ):
```
4
Lattice="-4.467 -0.907 -1.672 -0.505 -3.549 3.274 -1.051 1.827 1.818" Properties=species:S:1:pos:R:3 pbc="T T T"
Rh -2.759 0.460 0.073
Au 0.000 0.000 0.000
Au -2.486 -2.228 0.801
Tc -0.778 -0.861 2.546
```

***

- What is the formula in the third record?
  Tc2RhAu

***

- Which of these has the lowest energy relative to the lowest polymorph listed for this composition?
  number 5